No. 1
VASP calculation (GGA-PBE) on a relaxed Sm4TlPt crystal.

The space group is F-43m (No. 216) and the conventional cell measures 14.0746, 14.0746 and 14.0746 Å, with angles of 90.00, 90.00 and 90.00 degrees. Symmetry generates all atoms from Sm at (0.0000, 0.0000, 0.1889), Sm at (0.0605, 0.2500, 0.7500), Sm at (0.1014, 0.1014, 0.3986), Tl at (0.1644, 0.1644, 0.1644) and Pt at (0.1064, 0.1064, 0.6064).

The uncorrected energy comes out at -5.127 eV per atom. The density is 9.538 g/cm3. As for the energy above the most stable polymorph in this dataset: 0.000 eV/atom.

=====

No. 2
VASP calculation (GGA-PBE) on a relaxed Pm7Nd3Dy2 crystal.

The space group is R-3m (No. 166, hexagonal axes) and the conventional cell measures 6.6343, 6.6343 and 34.0400 Å, with angles of 90.00, 90.00 and 120.00 degrees. Symmetry generates all atoms from Pm at (0.0000, 0.0000, 0.0000), Pm at (0.0044, 0.5022, 0.4160), Nd at (0.0000, 0.0000, 0.3475), Nd at (0.0000, 0.0000, 0.5000) and Dy at (0.0000, 0.0000, 0.1660).

The uncorrected energy comes out at -4.452 eV per atom. The density is 6.806 g/cm3. As for the energy above the most stable polymorph in this dataset: 0.192 eV/atom.

=====

No. 3
VASP calculation (GGA-PBE) on a relaxed Cd3IF crystal.

The space group is Pm-3m (No. 221) and the conventional cell measures 5.1327, 5.1327 and 5.1327 Å, with angles of 90.00, 90.00 and 90.00 degrees. Symmetry generates all atoms from Cd at (0.0000, 0.0000, 0.5000), I at (0.5000, 0.5000, 0.5000) and F at (0.0000, 0.0000, 0.0000).

As for the uncorrected formation energy: -328 meV/atom. The uncorrected energy comes out at -1.562 eV per atom. The density is 5.933 g/cm3. As for the energy above the most stable polymorph in this dataset: 0.000 eV/atom.

=====

No. 4
VASP calculation (GGA-PBE) on a relaxed ErTm4Rh3 crystal.

The space group is I4/mcm (No. 140) and the conventional cell measures 10.8740, 10.8740 and 6.0411 Å, with angles of 90.00, 90.00 and 90.00 degrees. Symmetry generates all atoms from Er at (0.0000, 0.5000, 0.2500), Tm at (0.0807, 0.2098, 0.0000), Rh at (0.0000, 0.0000, 0.2500) and Rh at (0.1581, 0.3419, 0.5000).

The uncorrected energy comes out at -6.309 eV per atom. The density is 10.709 g/cm3.

=====

No. 5
VASP calculation (GGA-PBE) on a relaxed Ba2In2Tc crystal.

The space group is I4/mmm (No. 139) and the conventional cell measures 4.1254, 4.1254 and 21.0161 Å, with angles of 90.00, 90.00 and 90.00 degrees. Symmetry generates all atoms from Ba at (0.0000, 0.0000, 0.0925), In at (0.0000, 0.5000, 0.2500) and Tc at (0.0000, 0.0000, 0.5000).

The uncorrected energy comes out at -3.413 eV per atom. The density is 5.592 g/cm3. As for the energy above the most stable polymorph in this dataset: 0.000 eV/atom.

=====

No. 6
VASP calculation (GGA-PBE) on a relaxed LiNbPb2 crystal.

The space group is R-3m (No. 166, hexagonal axes) and the conventional cell measures 3.2207, 3.2207 and 31.8720 Å, with angles of 90.00, 90.00 and 120.00 degrees. Symmetry generates all atoms from Li at (0.0000, 0.0000, 0.0000), Nb at (0.0000, 0.0000, 0.5000) and Pb at (0.0000, 0.0000, 0.4088).

The uncorrected energy comes out at -4.458 eV per atom. The density is 8.948 g/cm3.